# 1
LaAl2Pb2 after structural relaxation, computed with PBE.

Lattice parameters (Å, degrees): 8.524 8.524 3.703 90.00 90.00 90.00
Space group P4/mbm (No. 127)
Asymmetric unit:
La 0.000 0.000 0.000 (multiplicity 2)
Al 0.157 0.343 0.500 (multiplicity 4)
Pb 0.137 0.637 0.000 (multiplicity 4)

Calculated values
VASP energy ... -3.972 eV/atom

---

# 2
La3AlPb after structural relaxation, computed with PBE.

Lattice parameters (Å, degrees): 5.741 5.741 5.741 90.00 90.00 90.00
Space group Pm-3m (No. 221)
Asymmetric unit:
La 0.000 0.000 0.500 (multiplicity 3)
Al 0.000 0.000 0.000 (multiplicity 1)
Pb 0.500 0.500 0.500 (multiplicity 1)

Calculated values
VASP energy ... -4.483 eV/atom

---

# 3
La2AlPb2 after structural relaxation, computed with PBE.

Lattice parameters (Å, degrees): 8.351 8.351 4.734 90.00 90.00 90.00
Space group P4/mbm (No. 127)
Asymmetric unit:
La 0.168 0.332 0.000 (multiplicity 4)
Al 0.000 0.000 0.000 (multiplicity 2)
Pb 0.138 0.638 0.500 (multiplicity 4)

Calculated values
VASP energy ... -4.439 eV/atom

---

# 4
La8Al2Pb after structural relaxation, computed with PBE.

Lattice parameters (Å, degrees): 17.984 5.024 8.288 90.00 110.91 90.00
Space group C2/m (No. 12)
Asymmetric unit:
La 0.051 0.000 0.238 (multiplicity 4)
La 0.112 0.500 0.947 (multiplicity 4)
La 0.159 0.000 0.744 (multiplicity 4)
La 0.174 0.500 0.423 (multiplicity 4)
Al 0.218 0.000 0.174 (multiplicity 4)
Pb 0.000 0.500 0.500 (multiplicity 2)

Calculated values
VASP energy ... -4.857 eV/atom

---

# 5
LaAl2Pb2 after structural relaxation, computed with PBE.

Lattice parameters (Å, degrees): 4.892 4.892 11.501 90.00 90.00 90.00
Space group I4/mmm (No. 139)
Asymmetric unit:
La 0.000 0.000 0.000 (multiplicity 2)
Al 0.000 0.000 0.392 (multiplicity 4)
Pb 0.000 0.500 0.250 (multiplicity 4)

Calculated values
VASP energy ... -4.058 eV/atom

---

# 6
LaAlPb2 after structural relaxation, computed with PBE.

Lattice parameters (Å, degrees): 4.557 4.774 10.298 90.00 90.00 90.00
Space group Imm2 (No. 44)
Asymmetric unit:
La 0.000 0.000 0.000 (multiplicity 2)
Al 0.000 0.500 0.256 (multiplicity 2)
Pb 0.000 0.000 0.529 (multiplicity 2)
Pb 0.000 0.500 0.760 (multiplicity 2)

Calculated values
VASP energy ... -4.291 eV/atom

---

# 7
La9AlPb2 after structural relaxation, computed with PBE.

Lattice parameters (Å, degrees): 5.040 5.040 15.142 90.00 90.00 90.00
Space group P4/mmm (No. 123)
Asymmetric unit:
La 0.000 0.000 0.000 (multiplicity 1)
La 0.000 0.000 0.330 (multiplicity 2)
La 0.000 0.500 0.161 (multiplicity 4)
La 0.000 0.500 0.500 (multiplicity 2)
Al 0.500 0.500 0.000 (multiplicity 1)
Pb 0.500 0.500 0.331 (multiplicity 2)

Calculated values
VASP energy ... -4.948 eV/atom

---

# 8
LaAlPb2 after structural relaxation, computed with PBE.

Lattice parameters (Å, degrees): 3.575 5.128 6.319 90.00 94.22 90.00
Space group Pm (No. 6)
Asymmetric unit:
La 0.000 0.000 0.000 (multiplicity 1)
Al 0.483 0.500 0.783 (multiplicity 1)
Pb 0.322 0.000 0.523 (multiplicity 1)
Pb 0.591 0.500 0.259 (multiplicity 1)

Calculated values
VASP energy ... -4.208 eV/atom

---

# 9
La3Al2Pb2 after structural relaxation, computed with PBE.

Lattice parameters (Å, degrees): 11.841 4.608 8.386 90.00 113.52 90.00
Space group C2/m (No. 12)
Asymmetric unit:
La 0.000 0.000 0.000 (multiplicity 2)
La 0.174 0.000 0.639 (multiplicity 4)
Al 0.198 0.500 0.937 (multiplicity 4)
Pb 0.040 0.500 0.323 (multiplicity 4)

Calculated values
VASP energy ... -4.772 eV/atom

---

# 10
LaAlPb3 after structural relaxation, computed with PBE.

Lattice parameters (Å, degrees): 5.438 5.438 5.438 90.00 90.00 90.00
Space group Pm-3m (No. 221)
Asymmetric unit:
La 0.000 0.000 0.000 (multiplicity 1)
Al 0.500 0.500 0.500 (multiplicity 1)
Pb 0.000 0.500 0.500 (multiplicity 3)

Calculated values
VASP energy ... -3.871 eV/atom

---

# 11
LaAlPb2 after structural relaxation, computed with PBE.

Lattice parameters (Å, degrees): 8.404 8.404 6.704 90.00 90.00 90.00
Space group I-42d (No. 122)
Asymmetric unit:
La 0.000 0.000 0.000 (multiplicity 4)
Al 0.000 0.000 0.500 (multiplicity 4)
Pb 0.205 0.250 0.625 (multiplicity 8)

Calculated values
VASP energy ... -4.219 eV/atom

---

# 12
LaAlPb3 after structural relaxation, computed with PBE.

Lattice parameters (Å, degrees): 6.118 6.118 6.118 90.00 90.00 90.00
Space group Pm-3m (No. 221)
Asymmetric unit:
La 0.000 0.000 0.000 (multiplicity 1)
Al 0.500 0.500 0.500 (multiplicity 1)
Pb 0.000 0.000 0.500 (multiplicity 3)

Calculated values
VASP energy ... -3.192 eV/atom

---

Which value of VASP energy does entry 6 give?
-4.291 eV/atom